Entry 1:
A plane-wave DFT calculation with PBE-GGA was carried out for Hf2CrPtN after structural relaxation.

Output
M_tot ... 0.00 μB/f.u.
Theoretical density ... 13.81 Mg/m³
Formation energy from raw total energies ... -5.07 eV per formula unit

a b c (Å): 4.4496 4.4496 3.7546
angles (deg): 90.00 90.00 90.00
Last column: nearest neighbours and their distance in Å.
Fractional positions:
Hf 0.5000 0.0000 0.0000  2 N 2.22
Hf 0.0000 0.5000 0.0000  2 N 2.22
Cr 0.0000 0.0000 0.5000  2 N 1.88
Pt 0.5000 0.5000 0.5000  8 Hf 2.91, 4 Cr 3.15
N 0.0000 0.0000 0.0000  2 Cr 1.88

Entry 2:
A plane-wave DFT calculation with PBE-GGA was carried out for RbHfCr2N after structural relaxation.

Output
M_tot ... 8.26 μB/f.u.
Theoretical density ... 5.55 Mg/m³
Formation energy from raw total energies ... 13.14 eV per formula unit

a b c (Å): 5.1650 4.2831 5.1650
angles (deg): 90.00 90.00 90.00
Last column: nearest neighbours and their distance in Å.
Fractional positions:
Cr 0.5000 0.0000 0.0000  2 Rb 2.58
Cr 0.0000 0.0000 0.5000  2 Rb 2.58
Hf 0.5000 0.5000 0.5000  8 Cr 3.35, 4 N 3.65
Rb 0.0000 0.0000 0.0000  2 N 2.14
N 0.0000 0.5000 0.0000  2 Rb 2.14

Entry 3:
A plane-wave DFT calculation with PBE-GGA was carried out for Hf2CrReN after structural relaxation.

Output
M_tot ... 0.00 μB/f.u.
Theoretical density ... 13.61 Mg/m³
Formation energy from raw total energies ... -3.23 eV per formula unit

a b c (Å): 4.5228 4.5228 3.6327
angles (deg): 90.00 90.00 90.00
Last column: nearest neighbours and their distance in Å.
Fractional positions:
N 0.0000 0.0000 0.0000  2 Cr 1.82
Re 0.5000 0.5000 0.5000  8 Hf 2.90, 4 Cr 3.20
Hf 0.5000 0.0000 0.0000  2 N 2.26
Hf 0.0000 0.5000 0.0000  2 N 2.26
Cr 0.0000 0.0000 0.5000  2 N 1.82